No. 1
The following is a DFT calculation (PBE) of an optimized crystal structure of Cu2As.

Geometry as POSCAR:
```
Cu2As
1.0
5.351 -1.367 0.000
5.351 1.367 0.000
-2.420 0.000 5.925
Cu As
4 2
Cartesian
-0.487 0.000 1.992 Cu
2.240 0.000 2.133 Cu
6.042 0.000 3.791 Cu
8.770 0.000 3.933 Cu
1.613 0.000 5.881 As
6.670 0.000 0.044 As
```

## Properties
Magnetization ... 0.0 μB/cell
Formation energy ... 0.178 eV/atom
DOS at the Fermi energy ... 0.425 states/eV per atom

***

No. 2
The following is a DFT calculation (PBE) of an optimized crystal structure of Cs2CeAgSe4.

Geometry as POSCAR:
```
Cs2CeAgSe4
1.0
-4.119 4.119 4.510
4.119 -4.119 4.510
4.119 4.119 -4.510
Cs Ce Ag Se
2 1 1 4
Cartesian
0.000 0.000 0.000 Cs
0.000 4.119 2.255 Cs
4.119 0.000 2.255 Ce
0.000 0.000 4.510 Ag
1.998 2.847 -0.872 Se
5.392 1.998 0.872 Se
2.121 1.272 3.637 Se
-1.272 2.121 5.382 Se
```

## Properties
Magnetization ... 0.0 μB/cell
DOS at the Fermi energy ... 0.631 states/eV per atom
ΔE_f (raw) ... -0.953 eV per atom

***

No. 3
The following is a DFT calculation (PBE) of an optimized crystal structure of IClF3.

Geometry as POSCAR:
```
IClF3
1.0
4.483 0.000 0.000
0.000 4.483 0.000
0.000 0.000 4.483
I Cl F
1 1 3
Cartesian
0.000 0.000 0.000 I
2.241 2.241 2.241 Cl
0.000 0.000 2.241 F
0.000 2.241 0.000 F
2.241 0.000 0.000 F
```

## Properties
Magnetization ... 0.6 μB/cell
Energy above the most stable polymorph in this dataset ... 54.71 kJ per mole of atoms
DOS at the Fermi energy ... 2.043 states/eV per atom
ΔE_f (raw) ... -0.555 eV per atom

***

No. 4
The following is a DFT calculation (PBE) of an optimized crystal structure of CaNiIN2.

Geometry as POSCAR:
```
CaNiIN2
1.0
4.485 0.000 0.000
0.000 4.485 0.000
0.000 0.000 6.368
Ca Ni I N
1 1 1 2
Cartesian
0.000 0.000 0.000 Ca
2.243 2.243 3.184 Ni
0.000 0.000 3.184 I
0.000 2.243 0.000 N
2.243 0.000 0.000 N
```

## Properties
Magnetization ... 5.0 μB/cell
Energy above the most stable polymorph in this dataset ... 74.37 kJ per mole of atoms
DOS at the Fermi energy ... 1.204 states/eV per atom
ΔE_f (raw) ... 1.506 eV per atom

***

No. 5
The following is a DFT calculation (PBE) of an optimized crystal structure of Sc7Re.

Geometry as POSCAR:
```
Sc7Re
1.0
0.000 4.425 4.425
4.425 0.000 4.425
4.425 4.425 0.000
Sc Re
7 1
Cartesian
0.000 0.000 0.000 Sc
2.213 2.213 0.000 Sc
2.213 0.000 2.213 Sc
4.425 2.213 2.213 Sc
0.000 2.213 2.213 Sc
2.213 4.425 2.213 Sc
2.213 2.213 4.425 Sc
4.425 4.425 4.425 Re
```

## Properties
Magnetization ... 0.0 μB/cell
Formation energy ... 0.106 eV/atom
DOS at the Fermi energy ... 1.625 states/eV per atom

***

No. 6
The following is a DFT calculation (PBE) of an optimized crystal structure of NdPaTeIr.

Geometry as POSCAR:
```
NdPaTeIr
1.0
2.049 1.183 7.710
-2.049 1.183 7.710
0.000 -2.366 7.710
Nd Pa Te Ir
1 1 1 1
Cartesian
0.000 0.000 0.000 Nd
0.000 0.000 18.605 Pa
0.000 0.000 5.389 Te
0.000 0.000 9.531 Ir
```

## Properties
Magnetization ... 0.0 μB/cell
DOS at the Fermi energy ... 1.071 states/eV per atom
ΔE_f (raw) ... -0.930 eV per atom

***

No. 7
The following is a DFT calculation (PBE) of an optimized crystal structure of TbY3Co.

Geometry as POSCAR:
```
TbY3Co
1.0
5.298 0.000 0.000
0.000 5.298 0.000
0.000 0.000 5.298
Tb Y Co
1 3 1
Cartesian
0.000 0.000 0.000 Tb
0.000 2.649 2.649 Y
2.649 0.000 2.649 Y
2.649 2.649 0.000 Y
2.649 2.649 2.649 Co
```

## Properties
Magnetization ... 0.0 μB/cell
Formation energy ... -0.002 eV/atom
Energy above the most stable polymorph in this dataset ... 9.37 kJ per mole of atoms
DOS at the Fermi energy ... 1.635 states/eV per atom

***

No. 8
The following is a DFT calculation (PBE) of an optimized crystal structure of TbSO.

Geometry as POSCAR:
```
TbSO
1.0
1.928 1.113 8.482
-1.928 1.113 8.482
0.000 -2.227 8.482
Tb S O
2 2 2
Cartesian
0.000 0.000 5.687 Tb
0.000 0.000 19.759 Tb
0.000 0.000 9.454 S
0.000 0.000 15.992 S
0.000 0.000 3.389 O
0.000 0.000 22.057 O
```

## Properties
Magnetization ... 2.0 μB/cell
DOS at the Fermi energy ... 0.513 states/eV per atom
ΔE_f (raw) ... -2.195 eV per atom

***

No. 9
The following is a DFT calculation (PBE) of an optimized crystal structure of Pm2Dy2Sn.

Geometry as POSCAR:
```
Pm2Dy2Sn
1.0
-2.185 2.185 8.673
2.185 -2.185 8.673
2.185 2.185 -8.673
Pm Dy Sn
2 2 1
Cartesian
0.000 0.000 1.500 Pm
0.000 0.000 15.846 Pm
2.185 0.000 4.336 Dy
0.000 2.185 4.336 Dy
0.000 0.000 8.673 Sn
```

## Properties
Magnetization ... 0.0 μB/cell
Formation energy ... 0.136 eV/atom
DOS at the Fermi energy ... 1.075 states/eV per atom

***

No. 10
The following is a DFT calculation (PBE) of an optimized crystal structure of DySb2Pd7Pb2.

Geometry as POSCAR:
```
DySb2Pd7Pb2
1.0
2.894 -2.894 0.000
2.894 2.894 0.000
-1.443 0.000 15.221
Dy Sb Pd Pb
1 2 7 2
Cartesian
0.000 0.000 0.000 Dy
1.438 0.000 11.437 Sb
2.906 0.000 3.784 Sb
1.455 1.445 2.102 Pd
1.400 0.000 8.781 Pd
2.889 1.445 13.119 Pd
2.894 0.000 0.000 Pd
1.455 -1.445 2.102 Pd
2.944 0.000 6.440 Pd
2.889 -1.445 13.119 Pd
0.112 0.000 6.115 Pb
4.232 0.000 9.106 Pb
```

## Properties
Magnetization ... 0.0 μB/cell
DOS at the Fermi energy ... 0.323 states/eV per atom
ΔE_f (raw) ... -0.473 eV per atom

***

No. 11
The following is a DFT calculation (PBE) of an optimized crystal structure of SmDy5Tl6.

Geometry as POSCAR:
```
SmDy5Tl6
1.0
4.642 -8.094 0.000
4.642 8.094 0.000
-3.104 0.000 4.395
Sm Dy Tl
1 5 6
Cartesian
0.000 0.000 0.000 Sm
3.090 5.424 2.197 Dy
4.642 2.703 0.000 Dy
3.090 0.000 2.197 Dy
4.642 -2.703 0.000 Dy
3.090 -5.424 2.197 Dy
1.559 2.725 1.110 Tl
0.023 0.000 3.318 Tl
1.559 -2.725 1.110 Tl
4.620 2.725 3.285 Tl
6.156 0.000 1.077 Tl
4.620 -2.725 3.285 Tl
```

## Properties
Magnetization ... 0.0 μB/cell
Formation energy ... -0.346 eV/atom
DOS at the Fermi energy ... 0.752 states/eV per atom

***

No. 12
The following is a DFT calculation (PBE) of an optimized crystal structure of BaPmNi2Sb2.

Geometry as POSCAR:
```
BaPmNi2Sb2
1.0
4.405 0.000 0.000
-2.202 3.815 0.000
0.000 0.000 9.101
Ba Pm Ni Sb
1 1 2 2
Cartesian
0.000 0.000 0.000 Ba
0.000 0.000 4.550 Pm
0.000 2.543 6.441 Ni
2.202 1.272 2.659 Ni
0.000 2.543 2.485 Sb
2.202 1.272 6.616 Sb
```

## Properties
Magnetization ... 0.0 μB/cell
DOS at the Fermi energy ... 0.859 states/eV per atom
ΔE_f (raw) ... -0.736 eV per atom

***

No. 13
The following is a DFT calculation (PBE) of an optimized crystal structure of KAlIn2C.

Geometry as POSCAR:
```
KAlIn2C
1.0
5.921 0.000 0.000
0.000 5.921 0.000
0.000 0.000 3.793
K Al In C
1 1 2 1
Cartesian
0.000 0.000 0.000 K
2.960 2.960 1.897 Al
0.000 2.960 1.897 In
2.960 0.000 1.897 In
2.960 2.960 0.000 C
```

## Properties
Magnetization ... 0.0 μB/cell
Formation energy ... 0.731 eV/atom
DOS at the Fermi energy ... 0.512 states/eV per atom

***

No. 14
The following is a DFT calculation (PBE) of an optimized crystal structure of Pm2Ga9Pd3.

Geometry as POSCAR:
```
Pm2Ga9Pd3
1.0
6.706 -3.877 0.000
6.706 3.877 0.000
-4.442 0.000 9.685
Pm Ga Pd
4 18 6
Cartesian
1.136 0.647 2.432 Pm
-1.085 -0.647 7.274 Pm
10.056 0.647 2.411 Pm
7.836 -0.647 7.253 Pm
5.591 3.219 0.733 Ga
5.601 3.219 4.110 Ga
1.149 0.633 5.581 Ga
4.219 1.427 2.433 Ga
1.148 0.651 9.050 Ga
3.370 -0.633 0.739 Ga
3.375 0.953 7.263 Ga
6.973 1.427 2.410 Ga
3.369 -0.651 4.208 Ga
5.603 0.651 5.477 Ga
1.999 -1.427 7.275 Ga
5.596 -0.953 2.421 Ga
5.602 0.633 8.945 Ga
7.823 -0.651 0.635 Ga
4.752 -1.427 7.252 Ga
7.822 -0.633 4.103 Ga
3.370 -3.219 5.575 Ga
3.380 -3.219 8.952 Ga
3.353 1.939 0.000 Pd
3.345 1.973 4.835 Pd
7.848 1.973 0.007 Pd
1.132 -1.939 4.842 Pd
1.124 -1.973 9.677 Pd
5.627 -1.973 4.850 Pd
```

## Properties
Magnetization ... 0.0 μB/cell
Formation energy ... -0.628 eV/atom
DOS at the Fermi energy ... 0.349 states/eV per atom

***

No. 15
The following is a DFT calculation (PBE) of an optimized crystal structure of PmDyErTh.

Geometry as POSCAR:
```
PmDyErTh
1.0
1.795 1.037 11.509
-1.795 1.037 11.509
0.000 -2.073 11.509
Pm Dy Er Th
1 1 1 1
Cartesian
0.000 0.000 0.000 Pm
0.000 0.000 8.556 Dy
0.000 0.000 14.463 Er
0.000 0.000 28.770 Th
```

## Properties
Magnetization ... 0.0 μB/cell
Formation energy ... 0.012 eV/atom
Energy above the most stable polymorph in this dataset ... 0.00 kJ per mole of atoms
DOS at the Fermi energy ... 1.510 states/eV per atom

***

No. 16
The following is a DFT calculation (PBE) of an optimized crystal structure of CaCr2W.

Geometry as POSCAR:
```
CaCr2W
1.0
4.702 -1.507 0.000
4.702 1.507 0.000
-1.508 0.000 5.092
Ca Cr W
1 2 1
Cartesian
0.000 0.000 0.000 Ca
3.776 0.000 2.481 Cr
6.904 0.000 1.749 Cr
0.998 0.000 3.231 W
```

## Properties
Magnetization ... 0.0 μB/cell
Formation energy ... 0.773 eV/atom
Energy above the most stable polymorph in this dataset ... 22.29 kJ per mole of atoms
DOS at the Fermi energy ... 0.780 states/eV per atom

***

No. 17
The following is a DFT calculation (PBE) of an optimized crystal structure of YAlIr2.

Geometry as POSCAR:
```
YAlIr2
1.0
-2.946 2.946 5.897
2.946 -2.946 5.897
2.946 2.946 -5.897
Y Al Ir
2 2 4
Cartesian
0.000 0.000 0.000 Y
0.000 2.946 2.949 Y
2.946 0.000 2.949 Al
0.000 0.000 5.897 Al
1.473 -1.160 4.423 Ir
1.785 1.473 1.474 Ir
1.473 4.106 -1.474 Ir
1.160 1.473 7.371 Ir
```

## Properties
Magnetization ... 0.0 μB/cell
Formation energy ... 0.348 eV/atom
DOS at the Fermi energy ... 0.762 states/eV per atom

***

No. 18
The following is a DFT calculation (PBE) of an optimized crystal structure of Mg2PtBr.

Geometry as POSCAR:
```
Mg2PtBr
1.0
7.523 -1.687 0.000
7.523 1.687 0.000
-0.753 0.000 3.288
Mg Pt Br
2 1 1
Cartesian
0.000 0.000 0.000 Mg
2.806 0.000 0.642 Mg
8.550 0.000 1.965 Pt
12.498 0.000 1.149 Br
```

## Properties
Magnetization ... 0.0 μB/cell
Energy above the most stable polymorph in this dataset ... 0.00 kJ per mole of atoms
DOS at the Fermi energy ... 0.199 states/eV per atom
ΔE_f (raw) ... -0.807 eV per atom

***

No. 19
The following is a DFT calculation (PBE) of an optimized crystal structure of NdHoSn.

Geometry as POSCAR:
```
NdHoSn
1.0
-1.651 1.651 9.046
1.651 -1.651 9.046
1.651 1.651 -9.046
Nd Ho Sn
1 1 1
Cartesian
0.000 0.000 0.000 Nd
0.000 0.000 14.557 Ho
0.000 0.000 11.479 Sn
```

## Properties
Magnetization ... 0.3 μB/cell
Formation energy ... 0.153 eV/atom
Energy above the most stable polymorph in this dataset ... 74.04 kJ per mole of atoms
DOS at the Fermi energy ... 1.437 states/eV per atom

***

No. 20
The following is a DFT calculation (PBE) of an optimized crystal structure of ZrTcIr2.

Geometry as POSCAR:
```
ZrTcIr2
1.0
-2.010 2.010 3.963
2.010 -2.010 3.963
2.010 2.010 -3.963
Zr Tc Ir
1 1 2
Cartesian
0.000 0.000 0.000 Zr
0.000 0.000 3.963 Tc
2.010 0.000 1.981 Ir
0.000 2.010 1.981 Ir
```

## Properties
Magnetization ... 0.0 μB/cell
Formation energy ... -0.409 eV/atom
Energy above the most stable polymorph in this dataset ... 5.05 kJ per mole of atoms
DOS at the Fermi energy ... 1.228 states/eV per atom

***

No. 21
The following is a DFT calculation (PBE) of an optimized crystal structure of MnIrBr2.

Geometry as POSCAR:
```
MnIrBr2
1.0
3.618 -1.920 0.000
3.618 1.920 0.000
-0.689 0.000 7.576
Mn Ir Br
1 1 2
Cartesian
0.000 0.000 0.000 Mn
4.916 0.000 0.939 Ir
1.863 0.000 2.539 Br
3.865 0.000 6.001 Br
```

## Properties
Magnetization ... 4.0 μB/cell
Energy above the most stable polymorph in this dataset ... 2.86 kJ per mole of atoms
DOS at the Fermi energy ... 0.420 states/eV per atom
ΔE_f (raw) ... 0.095 eV per atom

***

No. 22
The following is a DFT calculation (PBE) of an optimized crystal structure of BaCaBr2.

Geometry as POSCAR:
```
BaCaBr2
1.0
2.226 1.285 9.894
-2.226 1.285 9.894
0.000 -2.571 9.894
Ba Ca Br
1 1 2
Cartesian
0.000 0.000 0.000 Ba
0.000 0.000 14.841 Ca
0.000 0.000 3.445 Br
0.000 0.000 26.236 Br
```

## Properties
Magnetization ... 0.0 μB/cell
Energy above the most stable polymorph in this dataset ... 3.69 kJ per mole of atoms
DOS at the Fermi energy ... 0.966 states/eV per atom
ΔE_f (raw) ... -1.406 eV per atom

***

No. 23
The following is a DFT calculation (PBE) of an optimized crystal structure of RbAcRu2O8.

Geometry as POSCAR:
```
RbAcRu2O8
1.0
6.163 0.000 0.000
-3.081 5.337 0.000
0.000 0.000 8.310
Rb Ac Ru O
1 1 2 8
Cartesian
0.000 0.000 0.000 Rb
0.000 0.000 4.155 Ac
0.000 3.558 6.417 Ru
3.081 1.779 1.894 Ru
0.000 1.870 5.767 O
-1.462 4.402 5.767 O
0.000 3.558 8.165 O
1.619 0.935 2.543 O
1.462 4.402 5.767 O
3.081 1.779 0.145 O
4.543 0.935 2.543 O
3.081 3.467 2.543 O
```

## Properties
Magnetization ... 4.0 μB/cell
DOS at the Fermi energy ... 0.015 states/eV per atom
ΔE_f (raw) ... -1.491 eV per atom

***

No. 24
The following is a DFT calculation (PBE) of an optimized crystal structure of Sc2CoTcH.

Geometry as POSCAR:
```
Sc2CoTcH
1.0
4.520 0.000 0.000
0.000 4.520 0.000
0.000 0.000 3.270
Sc Co Tc H
2 1 1 1
Cartesian
0.000 2.260 0.000 Sc
2.260 0.000 0.000 Sc
0.000 0.000 1.635 Co
2.260 2.260 1.635 Tc
0.000 0.000 0.000 H
```

## Properties
Magnetization ... 0.0 μB/cell
Energy above the most stable polymorph in this dataset ... 0.00 kJ per mole of atoms
DOS at the Fermi energy ... 0.938 states/eV per atom

***

No. 25
The following is a DFT calculation (PBE) of an optimized crystal structure of TbPmInGe.

Geometry as POSCAR:
```
TbPmInGe
1.0
0.000 3.729 3.729
3.729 0.000 3.729
3.729 3.729 0.000
Tb Pm In Ge
1 1 1 1
Cartesian
0.000 0.000 0.000 Tb
3.729 3.729 3.729 Pm
5.593 5.593 5.593 In
1.864 1.864 1.864 Ge
```

## Properties
Magnetization ... 0.0 μB/cell
Formation energy ... -0.490 eV/atom
DOS at the Fermi energy ... 0.599 states/eV per atom

***

In eV for the cell shown, the raw total energy values for the records above are, in order, -24.6 -32.1 -11.8 -18.5 -55.9 -30.0 -31.1 -40.6 -22.0 -62.3 -46.1 -30.9 -15.9 -122.2 -21.3 -31.1 -53.1 -14.1 -12.9 -38.3 -21.0 -12.9 -81.2 -34.9 -18.7.